# GGA+U Al2CrInF8, optimized geometry
# - spin magnetization (μB per formula unit) = 5.00
# - electronic total energy (eV/cell) = -197.65
data_Al2CrInF8
_chemical_formula_sum 'Al6 Cr3 In3 F24'
_cell_length_a 5.4466
_cell_length_b 5.4466
_cell_length_c 23.7816
_cell_angle_alpha 90.00
_cell_angle_beta 90.00
_cell_angle_gamma 120.00
_symmetry_space_group_name_H-M 'R -3'
_symmetry_Int_Tables_number 148
_symmetry_space_group_name_Hall '-R 3'
loop_
_atom_site_label
_atom_site_fract_x
_atom_site_fract_y
_atom_site_fract_z
_atom_site_occupancy
Al1 0.0000 0.0000 0.2486 1
Cr1 0.0000 0.0000 0.5000 1
In1 0.0000 0.0000 0.0000 1
F1 0.0000 0.0000 0.3203 1
F2 0.0056 0.3006 0.7732 1